The following is a DFT calculation (GGA-PBE) of a geometry-optimized ZrIr2Rh structure.

Unit cell a=4.8994 b=4.8994 c=4.8135 alpha=79.96 beta=79.96 gamma=34.21
Positions (direct):
Ir 0.4986 0.4986 0.5137
Rh 0.7500 0.7500 0.7500
Ir 0.0014 0.0014 0.9863
Zr 0.2500 0.2500 0.2500

Properties
energy of formation = -1.62 eV per formula unit
density = 15.04 g cm⁻³
spin magnetization = 0.000 μB/atom

=====

The following is a DFT calculation (GGA-PBE) of a geometry-optimized LaZr2F11 structure.

Unit cell a=8.5625 b=8.5625 c=8.5625 alpha=124.98 beta=106.51 gamma=98.19
Positions (direct):
F 0.7815 0.3703 0.1517
F 0.5494 0.4671 0.2873
F 0.0000 0.5000 0.5000
F 0.4506 0.5329 0.7127
Zr 0.3189 0.8672 0.1861
F 0.7066 0.3922 0.8412
F 0.3202 0.0329 0.0823
F 0.2185 0.6297 0.8483
F 0.9506 0.2379 0.9177
F 0.7185 0.8703 0.5888
F 0.8202 0.7379 0.2873
F 0.0494 0.7621 0.0823
Zr 0.8189 0.6328 0.4518
F 0.7934 0.6346 0.6856
F 0.1798 0.2621 0.7127
F 0.5510 0.8654 0.1588
F 0.2934 0.6078 0.1588
F 0.5000 0.0000 0.5000
F 0.9490 0.1078 0.3144
Zr 0.6811 0.1328 0.8139
F 0.2815 0.1297 0.4112
Zr 0.1811 0.3672 0.5482
F 0.4490 0.1346 0.8412
F 0.2066 0.3654 0.3144
La 0.2500 0.2500 0.0000
La 0.7500 0.7500 0.0000
F 0.0510 0.8922 0.6856
F 0.6798 0.9671 0.9177

Properties
raw formation energy = -3.841 eV/atom
density = 3.88 g cm⁻³
spin magnetization = 0.000 μB/atom

=====

The following is a DFT calculation (GGA-PBE) of a geometry-optimized CaRe2OsN structure.

Unit cell a=4.0322 b=4.5403 c=4.0322 alpha=90.00 beta=90.00 gamma=90.00
Positions (direct):
Ca 0.0000 0.5000 0.0000
Re 0.0000 0.0000 0.5000
Re 0.5000 0.0000 0.0000
N 0.0000 0.0000 0.0000
Os 0.5000 0.5000 0.5000

Properties
raw formation energy = 0.453 eV/atom
density = 13.87 g cm⁻³
spin magnetization = 0.000 μB/atom

=====

The following is a DFT calculation (GGA-PBE) of a geometry-optimized Pm5Cd2OsRh2 structure.

Unit cell a=3.6297 b=11.8364 c=11.8364 alpha=90.00 beta=90.00 gamma=90.00
Positions (direct):
Pm 0.5000 0.0663 0.8058
Os 0.0000 0.5000 0.5000
Pm 0.5000 0.1942 0.0663
Pm 0.5000 0.0000 0.5000
Cd 0.0000 0.8187 0.6813
Pm 0.5000 0.6942 0.4337
Rh 0.0000 0.8669 0.3669
Cd 0.0000 0.3187 0.8187
Pm 0.5000 0.3058 0.5663
Pm 0.5000 0.8058 0.9337
Pm 0.5000 0.9337 0.1942
Pm 0.5000 0.5663 0.6942
Os 0.0000 0.0000 0.0000
Pm 0.5000 0.4337 0.3058
Cd 0.0000 0.1813 0.3187
Rh 0.0000 0.6331 0.8669
Cd 0.0000 0.6813 0.1813
Pm 0.5000 0.5000 0.0000
Rh 0.0000 0.3669 0.1331
Rh 0.0000 0.1331 0.6331

Properties
energy of formation = -3.67 eV per formula unit
density = 8.79 g cm⁻³
spin magnetization = 0.000 μB/atom

=====

The following is a DFT calculation (GGA-PBE) of a geometry-optimized SrMg2Hg2 structure.

Unit cell a=4.5708 b=4.5708 c=7.2421 alpha=71.60 beta=71.60 gamma=90.00
Positions (direct):
Hg 0.3866 0.3866 0.2269
Mg 0.2500 0.7500 0.5000
Hg 0.6134 0.6134 0.7731
Sr 0.0000 0.0000 0.0000
Mg 0.7500 0.2500 0.5000

Properties
energy of formation = -1.82 eV per formula unit
density = 6.59 g cm⁻³
spin magnetization = 0.000 μB/atom

=====

The following is a DFT calculation (GGA-PBE) of a geometry-optimized CaInPb2 structure.

Unit cell a=6.1439 b=6.4704 c=3.5737 alpha=77.13 beta=83.54 gamma=116.34
Positions (direct):
In 0.5000 0.5000 0.0000
Ca 0.0000 0.5000 0.5000
Pb 0.5000 0.0000 0.5000
Pb 0.0000 0.0000 0.0000

Properties
energy of formation = -0.80 eV per formula unit
density = 7.85 g cm⁻³
spin magnetization = 0.000 μB/atom

=====

Record order is preserved below.
Total energy: -35.25, -96.38, -44.19, -55.19, -7.30, -12.95 eV/f.u.